Entry 1:
The following is a GGA-PBE calculation of a relaxed structure of Fe2HgPdN, from the Alexandria database.

The structure belongs to space group P4/mmm (No. 123); the cell edges are 3.8948, 3.8948 and 4.3869 Å and the angles 90.00°, 90.00° and 90.00°. The inequivalent atoms are Fe at (0.0000, 0.5000, 0.0000), Hg at (0.0000, 0.0000, 0.5000), Pd at (0.5000, 0.5000, 0.5000) and N at (0.5000, 0.5000, 0.0000).

As for the uncorrected formation energy: 0.090 eV/atom.

=====

Entry 2:
The following is a GGA-PBE calculation of a relaxed structure of Fe2HgRuN, from the Alexandria database.

The structure belongs to space group P4/mmm (No. 123); the cell edges are 3.9647, 3.9647 and 4.0556 Å and the angles 90.00°, 90.00° and 90.00°. The inequivalent atoms are Fe at (0.0000, 0.5000, 0.0000), Hg at (0.0000, 0.0000, 0.5000), Ru at (0.5000, 0.5000, 0.5000) and N at (0.5000, 0.5000, 0.0000).

For the relative energy among the computed polymorphs, the calculation gives 0.0000 eV/atom. As for the uncorrected formation energy: 0.163 eV/atom.

=====

Entry 3:
The following is a GGA-PBE calculation of a relaxed structure of Fe2HgRuN, from the Alexandria database.

The structure belongs to space group P4/mmm (No. 123); the cell edges are 4.8891, 4.8891 and 3.6885 Å and the angles 90.00°, 90.00° and 90.00°. The inequivalent atoms are Fe at (0.0000, 0.5000, 0.0000), Hg at (0.0000, 0.0000, 0.5000), Ru at (0.5000, 0.5000, 0.0000) and N at (0.5000, 0.5000, 0.5000).

For the relative energy among the computed polymorphs, the calculation gives 0.8102 eV/atom. As for the uncorrected formation energy: 0.973 eV/atom.

=====

Entry 4:
The following is a GGA-PBE calculation of a relaxed structure of FeHgSe2N, from the Alexandria database.

The structure belongs to space group P4/mmm (No. 123); the cell edges are 5.3603, 5.3603 and 4.0762 Å and the angles 90.00°, 90.00° and 90.00°. The inequivalent atoms are Fe at (0.0000, 0.0000, 0.0000), Hg at (0.5000, 0.5000, 0.5000), Se at (0.0000, 0.5000, 0.5000) and N at (0.5000, 0.5000, 0.0000).

For the relative energy among the computed polymorphs, the calculation gives 1.2248 eV/atom. As for the uncorrected formation energy: 1.545 eV/atom.

=====

Entry 5:
The following is a GGA-PBE calculation of a relaxed structure of FeHgSe2N, from the Alexandria database.

The structure belongs to space group P4/mmm (No. 123); the cell edges are 5.0779, 5.0779 and 3.4156 Å and the angles 90.00°, 90.00° and 90.00°. The inequivalent atoms are Fe at (0.0000, 0.0000, 0.0000), Hg at (0.5000, 0.5000, 0.5000), Se at (0.0000, 0.5000, 0.0000) and N at (0.0000, 0.0000, 0.5000).

For the relative energy among the computed polymorphs, the calculation gives 0.0000 eV/atom. As for the uncorrected formation energy: 0.320 eV/atom.

=====

Entry 6:
The following is a GGA-PBE calculation of a relaxed structure of Sr2FeHgN, from the Alexandria database.

The structure belongs to space group P4/mmm (No. 123); the cell edges are 5.5270, 5.5270 and 3.6278 Å and the angles 90.00°, 90.00° and 90.00°. The inequivalent atoms are Sr at (0.0000, 0.5000, 0.0000), Fe at (0.0000, 0.0000, 0.5000), Hg at (0.5000, 0.5000, 0.5000) and N at (0.0000, 0.0000, 0.0000).

As for the uncorrected formation energy: -0.407 eV/atom.

=====

Entry 7:
The following is a GGA-PBE calculation of a relaxed structure of FeHgTe2N, from the Alexandria database.

The structure belongs to space group P4/mmm (No. 123); the cell edges are 5.4793, 5.4793 and 3.4131 Å and the angles 90.00°, 90.00° and 90.00°. The inequivalent atoms are Fe at (0.0000, 0.0000, 0.0000), Hg at (0.5000, 0.5000, 0.5000), Te at (0.0000, 0.5000, 0.0000) and N at (0.0000, 0.0000, 0.5000).

For the relative energy among the computed polymorphs, the calculation gives 0.0000 eV/atom. As for the uncorrected formation energy: 0.255 eV/atom.

=====

Entry 8:
The following is a GGA-PBE calculation of a relaxed structure of FeHgTe2N, from the Alexandria database.

The structure belongs to space group P4/mmm (No. 123); the cell edges are 5.7273, 5.7273 and 3.9905 Å and the angles 90.00°, 90.00° and 90.00°. The inequivalent atoms are Fe at (0.0000, 0.0000, 0.0000), Hg at (0.5000, 0.5000, 0.5000), Te at (0.0000, 0.5000, 0.5000) and N at (0.5000, 0.5000, 0.0000).

For the relative energy among the computed polymorphs, the calculation gives 1.3603 eV/atom. As for the uncorrected formation energy: 1.615 eV/atom.